A plane-wave DFT calculation with GGA+U was carried out for crystalline RbFe2CuF8 at its relaxed geometry. Values from VASP.

```
&SYSTEM
  ibrav = 0, nat = 12, ntyp = 4
/
ATOMIC_SPECIES
F 19.00 F.upf
Fe 55.84 Fe.upf
Rb 85.47 Rb.upf
Cu 63.55 Cu.upf
CELL_PARAMETERS angstrom
-2.539 -1.673 -4.359
-3.081 -3.554 2.478
-4.555 4.561 0.893
ATOMIC_POSITIONS angstrom
F -6.341 1.482 -2.083
F -1.854 -1.713 -0.667
F -3.636 -1.224 -2.613
F -3.834 -2.148 1.095
F -8.322 1.047 -0.321
F -6.539 0.558 1.625
F -4.233 0.476 -0.263
F -5.943 -1.142 -0.725
Fe -3.895 -1.527 -0.728
Fe -6.281 0.861 -0.260
Rb -2.277 2.281 0.447
Cu 0.000 0.000 0.000
```

Values from the calculation:
Total energy: -57.624 eV per cell
Magnetization: 10.00 Bohr magnetons per cell
N(E_F): 4.862 states/eV per cell